A | Computed, not measured: a geometry-optimized La2Pm8Ho structure at the PBE-GGA level of DFT.

a b c (Å): 5.180 8.179 9.675
angles (deg): 104.69 105.53 90.00
Positions (direct):
La 0.227 0.637 0.453
La 0.773 0.363 0.547
Pm 0.589 0.451 0.179
Pm 0.320 0.092 0.639
Pm 0.135 0.177 0.270
Pm 0.044 0.729 0.088
Pm 0.865 0.823 0.730
Pm 0.680 0.908 0.361
Pm 0.411 0.549 0.821
Pm 0.956 0.271 0.912
Ho 0.500 0.000 0.000

Output
Space group   No. 12


B | Computed, not measured: a geometry-optimized La2Pm8Ho structure at the PBE-GGA level of DFT.

a b c (Å): 9.077 7.006 7.006
angles (deg): 120.00 90.00 90.00
Positions (direct):
La 0.150 0.667 0.333
La 0.850 0.333 0.667
Pm 0.497 0.333 0.667
Pm 0.503 0.667 0.333
Pm 0.171 0.165 0.331
Pm 0.829 0.835 0.669
Pm 0.829 0.331 0.165
Pm 0.171 0.669 0.835
Pm 0.171 0.165 0.835
Pm 0.829 0.835 0.165
Ho 0.500 0.000 0.000

Output
Space group   No. 164


Which one sits at the bottom of the stability order? B does.


A | Computed, not measured: a geometry-optimized La2Pm5Ho2 structure at the PBE-GGA level of DFT.

a b c (Å): 12.040 6.876 10.237
angles (deg): 109.62 126.02 90.00
Positions (direct):
La 0.129 0.688 0.252
La 0.871 0.436 0.748
La 0.622 0.188 0.252
La 0.378 0.936 0.748
Pm 0.198 0.654 0.894
Pm 0.802 0.761 0.106
Pm 0.196 0.154 0.894
Pm 0.804 0.261 0.106
Pm 0.377 0.022 0.286
Pm 0.623 0.736 0.714
Pm 0.409 0.522 0.286
Pm 0.591 0.236 0.714
Pm 0.010 0.662 0.500
Pm 0.990 0.162 0.500
Ho 0.000 0.029 0.000
Ho 0.500 0.529 0.000
Ho 0.258 0.349 0.500
Ho 0.742 0.849 0.500

Output
Space group   No. 46


B | Computed, not measured: a geometry-optimized La2Pm5Ho2 structure at the PBE-GGA level of DFT.

a b c (Å): 3.576 14.424 8.983
angles (deg): 46.82 101.48 82.88
Positions (direct):
La 0.450 0.874 0.774
La 0.550 0.126 0.226
Pm 0.309 0.536 0.154
Pm 0.691 0.464 0.846
Pm 0.117 0.219 0.453
Pm 0.883 0.781 0.547
Pm 0.000 0.000 0.000
Ho 0.169 0.333 0.671
Ho 0.831 0.667 0.329

Output
Space group   No. 12


Which one sits at the bottom of the stability order? A does.


A | Computed, not measured: a geometry-optimized La2Pm12Ho5 structure at the PBE-GGA level of DFT.

a b c (Å): 9.381 12.622 8.740
angles (deg): 132.90 90.00 111.81
Positions (direct):
La 0.675 0.000 0.000
La 0.325 0.000 0.000
Pm 0.087 0.175 0.294
Pm 0.025 0.691 0.930
Pm 0.666 0.691 0.930
Pm 0.180 0.747 0.410
Pm 0.567 0.747 0.410
Pm 0.564 0.128 0.790
Pm 0.436 0.872 0.210
Pm 0.820 0.253 0.590
Pm 0.433 0.253 0.590
Pm 0.975 0.309 0.070
Pm 0.334 0.309 0.070
Pm 0.913 0.825 0.706
Ho 0.298 0.596 0.618
Ho 0.230 0.461 0.890
Ho 0.000 0.000 0.500
Ho 0.770 0.539 0.110
Ho 0.702 0.404 0.382

Output
Space group   No. 12


B | Computed, not measured: a geometry-optimized La2Pm12Ho5 structure at the PBE-GGA level of DFT.

a b c (Å): 10.075 9.558 7.989
angles (deg): 89.80 90.00 121.81
Positions (direct):
La 0.787 0.000 0.000
La 0.213 0.000 0.000
Pm 0.836 0.672 0.124
Pm 0.039 0.614 0.793
Pm 0.575 0.614 0.793
Pm 0.167 0.788 0.390
Pm 0.621 0.788 0.390
Pm 0.449 0.897 0.711
Pm 0.551 0.103 0.289
Pm 0.833 0.212 0.610
Pm 0.379 0.212 0.610
Pm 0.961 0.386 0.207
Pm 0.425 0.386 0.207
Pm 0.164 0.328 0.876
Ho 0.248 0.495 0.508
Ho 0.353 0.706 0.083
Ho 0.000 0.000 0.500
Ho 0.647 0.294 0.917
Ho 0.752 0.505 0.492

Output
Space group   No. 12


Which one sits at the bottom of the stability order? A does.


A | Computed, not measured: a geometry-optimized La4Pm3Ho structure at the PBE-GGA level of DFT.

a b c (Å): 3.522 6.298 12.944
angles (deg): 93.43 97.82 90.00
Positions (direct):
Pm 0.000 0.500 0.000
Pm 0.143 0.742 0.286
Pm 0.857 0.258 0.714
Ho 0.500 0.000 0.000
La 0.720 0.244 0.440
La 0.280 0.756 0.560
La 0.105 0.233 0.210
La 0.895 0.767 0.790

Output
Space group   No. 12


B | Computed, not measured: a geometry-optimized La4Pm3Ho structure at the PBE-GGA level of DFT.

a b c (Å): 5.211 5.194 11.052
angles (deg): 103.65 103.64 90.00
Positions (direct):
La 0.250 0.750 0.500
La 0.750 0.250 0.500
La 0.622 0.622 0.244
La 0.378 0.378 0.756
Pm 0.000 0.500 0.000
Pm 0.123 0.123 0.246
Pm 0.877 0.877 0.754
Ho 0.500 0.000 0.000

Output
Space group   No. 12


Which one sits at the bottom of the stability order? A does.


A | Computed, not measured: a geometry-optimized La12PmHo7 structure at the PBE-GGA level of DFT.

a b c (Å): 8.991 8.991 8.991
angles (deg): 98.96 98.96 98.96
Positions (direct):
La 0.761 0.239 0.500
La 0.761 0.500 0.239
La 0.355 0.088 0.355
La 0.912 0.645 0.645
La 0.500 0.239 0.761
La 0.645 0.645 0.912
La 0.355 0.355 0.088
La 0.500 0.761 0.239
La 0.088 0.355 0.355
La 0.645 0.912 0.645
La 0.239 0.500 0.761
La 0.239 0.761 0.500
Pm 0.000 0.000 0.000
Ho 0.094 0.665 0.094
Ho 0.335 0.906 0.906
Ho 0.906 0.906 0.335
Ho 0.500 0.500 0.500
Ho 0.094 0.094 0.665
Ho 0.665 0.094 0.094
Ho 0.906 0.335 0.906

Output
Space group   No. 166


B | Computed, not measured: a geometry-optimized La12PmHo7 structure at the PBE-GGA level of DFT.

a b c (Å): 6.373 11.511 11.511
angles (deg): 116.67 100.63 100.63
Positions (direct):
La 0.092 0.592 0.185
La 0.092 0.185 0.593
La 0.570 0.645 0.000
La 0.431 0.000 0.355
La 0.500 0.407 0.592
La 0.075 0.645 0.645
La 0.925 0.355 0.355
La 0.500 0.593 0.408
La 0.569 0.000 0.645
La 0.430 0.355 0.000
La 0.908 0.815 0.407
La 0.908 0.408 0.815
Pm 0.000 0.000 0.000
Ho 0.115 0.752 0.001
Ho 0.885 0.001 0.249
Ho 0.637 0.751 0.752
Ho 0.500 0.000 0.000
Ho 0.363 0.249 0.248
Ho 0.115 0.999 0.751
Ho 0.885 0.248 0.999

Output
Space group   No. 166


Which one sits at the bottom of the stability order? B does.


A | Computed, not measured: a geometry-optimized La2Pm3Ho4 structure at the PBE-GGA level of DFT.

a b c (Å): 7.205 9.561 15.298
angles (deg): 74.90 45.32 55.71
Positions (direct):
La 0.412 0.836 0.726
La 0.752 0.498 0.167
La 0.588 0.164 0.274
La 0.248 0.502 0.833
Pm 0.084 0.166 0.611
Pm 0.582 0.166 0.946
Pm 0.916 0.834 0.389
Pm 0.418 0.834 0.054
Pm 0.249 0.500 0.502
Pm 0.751 0.500 0.498
Ho 0.585 0.165 0.611
Ho 0.084 0.168 0.943
Ho 0.415 0.835 0.389
Ho 0.916 0.832 0.057
Ho 0.917 0.835 0.721
Ho 0.250 0.502 0.166
Ho 0.083 0.165 0.279
Ho 0.750 0.498 0.834

Output
Space group   No. 2


B | Computed, not measured: a geometry-optimized La2Pm3Ho4 structure at the PBE-GGA level of DFT.

a b c (Å): 3.621 3.621 26.860
angles (deg): 90.00 90.00 120.00
Positions (direct):
La 0.667 0.333 0.095
La 0.667 0.333 0.866
Pm 0.000 0.000 0.983
Pm 0.000 0.000 0.328
Pm 0.667 0.333 0.648
Ho 0.000 0.000 0.540
Ho 0.667 0.333 0.437
Ho 0.667 0.333 0.223
Ho 0.000 0.000 0.756

Output
Space group   No. 156


Which one sits at the bottom of the stability order? B does.


A | Computed, not measured: a geometry-optimized La2Pm4Ho3 structure at the PBE-GGA level of DFT.

a b c (Å): 3.568 8.770 10.171
angles (deg): 99.14 100.10 90.00
Positions (direct):
La 0.666 0.042 0.333
La 0.334 0.958 0.667
Pm 0.549 0.684 0.097
Pm 0.280 0.353 0.559
Pm 0.451 0.316 0.903
Pm 0.720 0.647 0.441
Ho 0.105 0.363 0.210
Ho 0.895 0.637 0.790
Ho 0.000 0.000 0.000

Output
Space group   No. 12


B | Computed, not measured: a geometry-optimized La2Pm4Ho3 structure at the PBE-GGA level of DFT.

a b c (Å): 3.645 3.645 40.791
angles (deg): 90.00 90.00 120.00
Positions (direct):
La 0.667 0.333 0.939
La 0.667 0.333 0.798
Pm 0.000 0.000 0.581
Pm 0.667 0.333 0.508
Pm 0.667 0.333 0.369
Pm 0.000 0.000 0.722
Ho 0.000 0.000 0.870
Ho 0.000 0.000 0.437
Ho 0.667 0.333 0.652

Output
Space group   No. 156


Which one sits at the bottom of the stability order? B does.


A | Computed, not measured: a geometry-optimized La4PmHo4 structure at the PBE-GGA level of DFT.

a b c (Å): 5.163 8.129 8.129
angles (deg): 84.21 71.48 71.48
Positions (direct):
La 0.669 0.331 0.331
La 0.331 0.669 0.669
La 0.000 0.669 0.331
La 0.000 0.331 0.669
Pm 0.000 0.000 0.000
Ho 0.665 0.670 0.000
Ho 0.335 0.330 0.000
Ho 0.665 0.000 0.670
Ho 0.335 0.000 0.330

Output
Space group   No. 139


B | Computed, not measured: a geometry-optimized La4PmHo4 structure at the PBE-GGA level of DFT.

a b c (Å): 6.102 6.102 10.755
angles (deg): 106.48 106.48 90.00
Positions (direct):
La 0.500 0.000 0.000
La 0.000 0.500 0.000
La 0.143 0.143 0.286
La 0.857 0.857 0.714
Pm 0.000 0.000 0.000
Ho 0.475 0.475 0.591
Ho 0.525 0.885 0.409
Ho 0.115 0.115 0.591
Ho 0.885 0.525 0.409

Output
Space group   No. 121


Which one sits at the bottom of the stability order? B does.


A | Computed, not measured: a geometry-optimized LaTbPmHo structure at the PBE-GGA level of DFT.

a b c (Å): 5.140 5.140 6.268
angles (deg): 114.21 114.21 89.97
Positions (direct):
La 0.500 0.500 0.000
Tb 0.000 0.000 0.000
Pm 0.750 0.250 0.500
Ho 0.250 0.750 0.500

Output
Space group   No. 119


B | Computed, not measured: a geometry-optimized LaTbPmHo structure at the PBE-GGA level of DFT.

a b c (Å): 5.767 5.767 5.767
angles (deg): 60.00 60.00 60.00
Positions (direct):
La 0.250 0.250 0.250
Tb 0.000 0.000 0.000
Ho 0.500 0.500 0.500
Pm 0.750 0.750 0.750

Output
Space group   No. 216


Which one sits at the bottom of the stability order? B does.


A | Computed, not measured: a geometry-optimized LaPmHoTh structure at the PBE-GGA level of DFT.

a b c (Å): 3.617 3.617 10.302
angles (deg): 90.00 90.00 90.00
Positions (direct):
La 0.000 0.000 0.076
Pm 0.500 0.500 0.807
Ho 0.500 0.500 0.335
Th 0.000 0.000 0.567

Output
Space group   No. 99


B | Computed, not measured: a geometry-optimized LaPmHoTh structure at the PBE-GGA level of DFT.

a b c (Å): 5.758 5.758 5.758
angles (deg): 60.00 60.00 60.00
Positions (direct):
La 0.250 0.250 0.250
Ho 0.500 0.500 0.500
Th 0.750 0.750 0.750
Pm 0.000 0.000 0.000

Output
Space group   No. 216


Which one sits at the bottom of the stability order? B does.


A | Computed, not measured: a geometry-optimized LaPmHoTl structure at the PBE-GGA level of DFT.

a b c (Å): 5.538 5.538 5.540
angles (deg): 119.99 119.99 90.00
Positions (direct):
La 0.750 0.250 0.500
Pm 0.500 0.500 0.000
Ho 0.000 0.000 0.000
Tl 0.250 0.750 0.500

Output
Space group   No. 216


B | Computed, not measured: a geometry-optimized LaPmHoTl structure at the PBE-GGA level of DFT.

a b c (Å): 5.597 5.597 5.597
angles (deg): 60.00 60.00 60.00
Positions (direct):
Tl 0.000 0.000 0.000
La 0.750 0.750 0.750
Ho 0.250 0.250 0.250
Pm 0.500 0.500 0.500

Output
Space group   No. 216


Which one sits at the bottom of the stability order? A does.